[1]
Computed, not measured: a relaxed structure of NaSm2Tl at the PBE level of DFT.

Geometry as extended XYZ:
```
4
Lattice="5.182 0.000 0.000 0.000 5.182 0.000 0.000 0.000 4.395" Properties=species:S:1:pos:R:3 pbc="T T T"
Na 0.000 0.000 0.000
Sm 0.000 2.591 2.198
Sm 2.591 0.000 2.198
Tl 2.591 2.591 0.000
```

Results
SG: P4/mmm
Energy of formation: -0.07 eV per atom
Final energy: -3.35 eV per atom
Total magnetic moment: 0.001 μB/atom
Energy relative to the lowest polymorph listed for this composition: 13 meV/atom
DOS(E_F): 3.9 states/eV/cell

---

[2]
Computed, not measured: a relaxed structure of Ba3Li4Ag2 at the PBE level of DFT.

Geometry as extended XYZ:
```
9
Lattice="6.248 -2.396 0.000 6.248 2.396 0.000 -3.787 0.000 9.823" Properties=species:S:1:pos:R:3 pbc="T T T"
Ba 0.000 0.000 0.000
Ba 3.612 0.000 3.044
Ba 5.097 0.000 6.779
Li 0.288 0.000 4.280
Li -0.081 0.000 9.148
Li 8.789 0.000 0.675
Li 8.420 0.000 5.543
Ag 1.549 0.000 6.919
Ag 7.160 0.000 2.903
```

Results
SG: C2/m
Energy of formation: -0.09 eV per atom
Final energy: -2.21 eV per atom
Total magnetic moment: 0.000 μB/atom
Energy relative to the lowest polymorph listed for this composition: 11 meV/atom
DOS(E_F): 5.8 states/eV/cell

---

[3]
Computed, not measured: a relaxed structure of AlCuP2 at the PBE level of DFT.

Geometry as extended XYZ:
```
16
Lattice="6.109 0.000 0.000 0.000 6.109 0.000 0.000 0.000 6.109" Properties=species:S:1:pos:R:3 pbc="T T T"
Al 0.000 0.000 0.000
Al 0.000 3.055 3.055
Al 3.055 0.000 3.055
Al 3.055 3.055 0.000
Cu 1.527 1.527 1.527
Cu 1.527 4.582 4.582
Cu 4.582 1.527 4.582
Cu 4.582 4.582 1.527
P 0.000 0.000 3.055
P 0.000 3.055 0.000
P 1.527 1.527 4.582
P 1.527 4.582 1.527
P 3.055 0.000 0.000
P 3.055 3.055 3.055
P 4.582 1.527 1.527
P 4.582 4.582 4.582
```

Results
SG: F-43m
Energy of formation: 0.38 eV per atom
Final energy: -4.29 eV per atom
Total magnetic moment: 0.000 μB/atom
DOS(E_F): 4.3 states/eV/cell

---

[4]
Computed, not measured: a relaxed structure of TaAlO2 at the PBE level of DFT.

Geometry as extended XYZ:
```
12
Lattice="2.859 0.000 0.000 -1.430 2.476 0.000 0.000 0.000 18.717" Properties=species:S:1:pos:R:3 pbc="T T T"
Ta 0.000 0.000 0.000
Ta 0.000 1.651 12.478
Ta 1.430 0.825 6.239
Al 0.000 0.000 9.358
Al 0.000 1.651 3.119
Al 1.430 0.825 15.597
O 0.000 0.000 2.142
O 0.000 0.000 16.575
O 0.000 1.651 10.336
O 0.000 1.651 14.620
O 1.430 0.825 4.097
O 1.430 0.825 8.381
```

Results
SG: R-3m
ΔE_f (raw): -2.0812 eV/atom
Final energy: -8.46 eV per atom
Total magnetic moment: 0.000 μB/atom
DOS(E_F): 3.4 states/eV/cell

---

[5]
Computed, not measured: a relaxed structure of CoSeBr at the PBE level of DFT.

Geometry as extended XYZ:
```
12
Lattice="3.391 0.000 0.000 0.000 6.721 0.000 0.000 0.000 14.873" Properties=species:S:1:pos:R:3 pbc="T T T"
Co 0.000 0.000 0.000
Co 0.000 3.360 7.436
Co 1.696 0.000 7.436
Co 1.696 3.360 0.000
Se 0.000 0.000 8.935
Se 0.000 3.360 1.499
Se 1.696 0.000 1.499
Se 1.696 3.360 8.935
Br 0.000 0.000 5.739
Br 0.000 3.360 13.175
Br 1.696 0.000 13.175
Br 1.696 3.360 5.739
```

Results
SG: Fmm2
ΔE_f (raw): 0.0248 eV/atom
Final energy: -4.06 eV per atom
Total magnetic moment: 0.399 μB/atom
DOS(E_F): 15.1 states/eV/cell

---

[6]
Computed, not measured: a relaxed structure of PdSCl3 at the PBE level of DFT.

Geometry as extended XYZ:
```
20
Lattice="3.479 -6.924 0.000 3.479 6.924 0.000 -0.334 0.000 12.240" Properties=species:S:1:pos:R:3 pbc="T T T"
Pd 2.804 5.878 7.522
Pd 3.652 5.878 10.837
Pd 2.971 -5.878 1.403
Pd 3.819 -5.878 4.717
S 3.047 3.646 10.108
S 3.409 3.646 8.252
S 3.215 -3.646 3.988
S 3.576 -3.646 2.132
Cl 2.794 5.470 0.570
Cl 1.470 0.461 2.697
Cl 3.996 5.470 5.550
Cl 2.311 1.646 5.714
Cl 1.302 -0.461 8.817
Cl 2.144 -1.646 11.834
Cl 4.480 1.646 0.406
Cl 5.321 0.461 3.423
Cl 4.313 -1.646 6.526
Cl 2.627 -5.470 6.690
Cl 5.154 -0.461 9.543
Cl 3.829 -5.470 11.669
```

Results
SG: C2/c
ΔE_f (raw): -0.2733 eV/atom
Final energy: -3.25 eV per atom
Total magnetic moment: 0.000 μB/atom
Energy relative to the lowest polymorph listed for this composition: 0 meV/atom

---

[7]
Computed, not measured: a relaxed structure of AsPI at the PBE level of DFT.

Geometry as extended XYZ:
```
12
Lattice="9.708 0.000 0.000 0.000 5.426 0.000 -2.499 0.000 6.955" Properties=species:S:1:pos:R:3 pbc="T T T"
As 1.599 0.157 0.572
As 0.349 2.556 4.050
As 6.860 2.870 2.905
As 5.611 5.268 6.383
P -0.574 0.002 1.602
P 7.784 5.423 5.353
P 9.033 2.715 1.875
P -1.824 2.710 5.080
I 2.635 3.130 0.949
I 1.386 5.008 4.426
I 5.823 0.418 2.529
I 4.574 2.295 6.007
```

Results
SG: P2_1/c
ΔE_f (raw): 0.1025 eV/atom
Final energy: -3.77 eV per atom
Total magnetic moment: 0.000 μB/atom
DOS(E_F): 3.1 states/eV/cell

---

[8]
Computed, not measured: a relaxed structure of PmSm6Al2 at the PBE level of DFT.

Geometry as extended XYZ:
```
9
Lattice="6.397 -1.890 0.000 6.397 1.890 0.000 -3.967 0.000 11.300" Properties=species:S:1:pos:R:3 pbc="T T T"
Pm 0.000 0.000 0.000
Sm -1.022 0.000 3.695
Sm 3.479 0.000 1.414
Sm 2.344 0.000 4.666
Sm 6.484 0.000 6.634
Sm 5.349 0.000 9.886
Sm 9.850 0.000 7.604
Al 1.336 0.000 8.961
Al 7.492 0.000 2.338
```

Results
SG: C2/m
Energy of formation: -0.14 eV per atom
Final energy: -4.65 eV per atom
Total magnetic moment: 0.000 μB/atom
DOS(E_F): 9.8 states/eV/cell